Entry 1:
Density functional theory data (PBE-GGA) for an optimized crystal structure of KNa8Hg4.

```
KNa8Hg4
1.0
-1.2585 1.4371 6.0331
0.0944 -6.9413 4.9921
7.1220 1.8013 4.3755
K Na Hg
1 8 4
Direct
0.0000 0.0000 0.0000
0.0000 0.3413 0.6587
0.0000 0.6587 0.3413
0.3413 0.6587 0.6587
0.6587 0.3413 0.3413
0.5000 0.7789 0.2211
0.5000 0.2211 0.7789
0.2789 0.2211 0.2211
0.7211 0.7789 0.7789
0.0000 0.0000 0.5000
0.5000 0.0000 0.5000
0.0000 0.5000 0.0000
0.5000 0.5000 0.0000
```

Space group: No. 139



Entry 2:
Density functional theory data (PBE-GGA) for an optimized crystal structure of KNa10Hg2.

```
KNa10Hg2
1.0
-3.3358 -4.7223 3.1722
0.3122 -7.8260 -4.4669
5.2151 -4.4463 5.7202
K Na Hg
1 10 2
Direct
0.0000 0.0000 0.0000
0.3490 0.6322 0.6698
0.6510 0.3678 0.3302
0.9812 0.3678 0.6698
0.0188 0.6322 0.3302
0.0000 0.0000 0.5000
0.5000 0.0000 0.5000
0.2822 0.2301 0.2055
0.7178 0.7699 0.7945
0.5123 0.7699 0.2055
0.4877 0.2301 0.7945
0.0000 0.5000 0.0000
0.5000 0.5000 0.0000
```

Space group: No. 69



Entry 3:
Density functional theory data (PBE-GGA) for an optimized crystal structure of K12Na2Hg.

```
K12Na2Hg
1.0
-1.5048 -6.0201 5.3516
7.2751 -3.3526 -1.7258
12.7447 16.3458 21.9716
K Na Hg
24 4 2
Direct
0.5000 0.5000 0.8130
0.0000 0.0000 0.8130
0.7500 0.7500 0.9290
0.2500 0.7500 0.9290
0.0000 0.0000 0.3188
0.2500 0.7500 0.0710
0.8186 0.3186 0.5677
0.5000 0.5000 0.3188
0.2500 0.2500 0.9290
0.7500 0.7500 0.0710
0.3186 0.1814 0.5677
0.6814 0.1814 0.4323
0.0000 0.0000 0.6812
0.1814 0.3186 0.4323
0.2500 0.2500 0.0710
0.8186 0.6814 0.4323
0.6814 0.8186 0.5677
0.0000 0.0000 0.1870
0.1814 0.6814 0.5677
0.5000 0.5000 0.6812
0.7500 0.2500 0.9290
0.5000 0.5000 0.1870
0.3186 0.8186 0.4323
0.7500 0.2500 0.0710
0.5000 0.0000 0.2466
0.0000 0.5000 0.2466
0.0000 0.5000 0.7534
0.5000 0.0000 0.7534
0.5000 0.0000 0.0000
0.0000 0.5000 0.0000
```

Space group: No. 125



| no. | V (Å³ per cell) | ΔE_f (kJ/mol of formula units) | E (eV per atom) |
| --- | --- | --- | --- |
| 1 | 399.3 | -212 | -1.158 |
| 2 | 459.1 | -88 | -1.216 |
| 3 | 2028.2 | 84 | -1.016 |